(1)
# PBE ZnCuIrOs, relaxed
data_ZnCuIrOs
_space_group_name_H-M_alt 'F -4 3 m'
_space_group_IT_number 216
_space_group_name_Hall 'F -4 2 3'
_cell_length_a 6.053
_cell_length_b 6.053
_cell_length_c 6.053
_cell_angle_alpha 90.00
_cell_angle_beta 90.00
_cell_angle_gamma 90.00
loop_
_atom_site_label
_atom_site_type_symbol
_atom_site_fract_x
_atom_site_fract_y
_atom_site_fract_z
Zn1 Zn 0.000 0.000 0.000
Cu1 Cu 0.250 0.250 0.250
Ir1 Ir 0.000 0.000 0.500
Os1 Os 0.250 0.250 0.750
# - Energy of formation from the pure elements: 0.2628 eV per atom

(2)
# PBE PaCuIr, relaxed
data_PaCuIr
_space_group_name_H-M_alt 'F -4 3 m'
_space_group_IT_number 216
_space_group_name_Hall 'F -4 2 3'
_cell_length_a 6.336
_cell_length_b 6.336
_cell_length_c 6.336
_cell_angle_alpha 90.00
_cell_angle_beta 90.00
_cell_angle_gamma 90.00
loop_
_atom_site_label
_atom_site_type_symbol
_atom_site_fract_x
_atom_site_fract_y
_atom_site_fract_z
Pa1 Pa 0.000 0.000 0.000
Cu1 Cu 0.000 0.000 0.500
Ir1 Ir 0.250 0.250 0.750
# - Energy of formation from the pure elements: -0.2059 eV per atom

(3)
Here is CuIrPdPb after structural relaxation from OQMD. Energies are from PBE.

```
data_CuIrPdPb
_space_group_name_H-M_alt 'F -4 3 m'
_space_group_IT_number 216
_space_group_name_Hall 'F -4 2 3'
_cell_length_a 6.424
_cell_length_b 6.424
_cell_length_c 6.424
_cell_angle_alpha 90.00
_cell_angle_beta 90.00
_cell_angle_gamma 90.00
loop_
_atom_site_label
_atom_site_type_symbol
_atom_site_fract_x
_atom_site_fract_y
_atom_site_fract_z
Cu1 Cu 0.000 0.000 0.000
Ir1 Ir 0.000 0.000 0.500
Pd1 Pd 0.250 0.250 0.250
Pb1 Pb 0.250 0.250 0.750
```

(4)
Here is CuIrPbSe3 after structural relaxation from OQMD. Energies are from PBE.

```
data_CuIrPbSe3
_space_group_name_H-M_alt 'C m c m'
_space_group_IT_number 63
_space_group_name_Hall '-C 2c 2'
_cell_length_a 3.937
_cell_length_b 13.022
_cell_length_c 9.749
_cell_angle_alpha 90.00
_cell_angle_beta 90.00
_cell_angle_gamma 90.00
loop_
_atom_site_label
_atom_site_type_symbol
_atom_site_fract_x
_atom_site_fract_y
_atom_site_fract_z
Cu1 Cu 0.000 0.041 0.250
Ir1 Ir 0.000 0.500 0.000
Pb1 Pb 0.000 0.256 0.750
Se1 Se 0.000 0.126 0.029
Se2 Se 0.000 0.427 0.250
```

(5)
Here is CuSnIrPb after structural relaxation from OQMD. Energies are from PBE.

```
data_CuSnIrPb
_space_group_name_H-M_alt 'F -4 3 m'
_space_group_IT_number 216
_space_group_name_Hall 'F -4 2 3'
_cell_length_a 6.735
_cell_length_b 6.735
_cell_length_c 6.735
_cell_angle_alpha 90.00
_cell_angle_beta 90.00
_cell_angle_gamma 90.00
loop_
_atom_site_label
_atom_site_type_symbol
_atom_site_fract_x
_atom_site_fract_y
_atom_site_fract_z
Cu1 Cu 0.000 0.000 0.000
Sn1 Sn 0.250 0.250 0.750
Ir1 Ir 0.000 0.000 0.500
Pb1 Pb 0.250 0.250 0.250
```

(6)
Here is CuTe3IrPb after structural relaxation from OQMD. Energies are from PBE.

```
data_CuTe3IrPb
_space_group_name_H-M_alt 'C m c m'
_space_group_IT_number 63
_space_group_name_Hall '-C 2c 2'
_cell_length_a 4.166
_cell_length_b 13.345
_cell_length_c 10.663
_cell_angle_alpha 90.00
_cell_angle_beta 90.00
_cell_angle_gamma 90.00
loop_
_atom_site_label
_atom_site_type_symbol
_atom_site_fract_x
_atom_site_fract_y
_atom_site_fract_z
Cu1 Cu 0.000 0.053 0.250
Te1 Te 0.000 0.129 0.026
Te2 Te 0.000 0.432 0.250
Ir1 Ir 0.000 0.500 0.000
Pb1 Pb 0.000 0.260 0.750
```

(7)
Here is ZrCuIrPb after structural relaxation from OQMD. Energies are from PBE.

```
data_ZrCuIrPb
_space_group_name_H-M_alt 'F -4 3 m'
_space_group_IT_number 216
_space_group_name_Hall 'F -4 2 3'
_cell_length_a 6.610
_cell_length_b 6.610
_cell_length_c 6.610
_cell_angle_alpha 90.00
_cell_angle_beta 90.00
_cell_angle_gamma 90.00
loop_
_atom_site_label
_atom_site_type_symbol
_atom_site_fract_x
_atom_site_fract_y
_atom_site_fract_z
Zr1 Zr 0.000 0.000 0.000
Cu1 Cu 0.250 0.250 0.750
Ir1 Ir 0.250 0.250 0.250
Pb1 Pb 0.000 0.000 0.500
```

(8)
Here is ZrCuIrPb after structural relaxation from OQMD. Energies are from PBE.

```
data_ZrCuIrPb
_space_group_name_H-M_alt 'F -4 3 m'
_space_group_IT_number 216
_space_group_name_Hall 'F -4 2 3'
_cell_length_a 6.661
_cell_length_b 6.661
_cell_length_c 6.661
_cell_angle_alpha 90.00
_cell_angle_beta 90.00
_cell_angle_gamma 90.00
loop_
_atom_site_label
_atom_site_type_symbol
_atom_site_fract_x
_atom_site_fract_y
_atom_site_fract_z
Zr1 Zr 0.000 0.000 0.000
Cu1 Cu 0.000 0.000 0.500
Ir1 Ir 0.250 0.250 0.750
Pb1 Pb 0.250 0.250 0.250
```

(9)
Here is ZrCuIrPb after structural relaxation from OQMD. Energies are from PBE.

```
data_ZrCuIrPb
_space_group_name_H-M_alt 'F -4 3 m'
_space_group_IT_number 216
_space_group_name_Hall 'F -4 2 3'
_cell_length_a 6.600
_cell_length_b 6.600
_cell_length_c 6.600
_cell_angle_alpha 90.00
_cell_angle_beta 90.00
_cell_angle_gamma 90.00
loop_
_atom_site_label
_atom_site_type_symbol
_atom_site_fract_x
_atom_site_fract_y
_atom_site_fract_z
Zr1 Zr 0.000 0.000 0.000
Cu1 Cu 0.250 0.250 0.250
Ir1 Ir 0.000 0.000 0.500
Pb1 Pb 0.250 0.250 0.750
```

(10)
# PBE CuIrPd, relaxed
data_CuIrPd
_space_group_name_H-M_alt 'F -4 3 m'
_space_group_IT_number 216
_space_group_name_Hall 'F -4 2 3'
_cell_length_a 5.743
_cell_length_b 5.743
_cell_length_c 5.743
_cell_angle_alpha 90.00
_cell_angle_beta 90.00
_cell_angle_gamma 90.00
loop_
_atom_site_label
_atom_site_type_symbol
_atom_site_fract_x
_atom_site_fract_y
_atom_site_fract_z
Cu1 Cu 0.000 0.000 0.000
Ir1 Ir 0.250 0.250 0.750
Pd1 Pd 0.250 0.250 0.250
# - Energy of formation from the pure elements: 0.6310 eV per atom

(11)
Here is CuSbIrPd after structural relaxation from OQMD. Energies are from PBE.

```
data_CuSbIrPd
_space_group_name_H-M_alt 'F -4 3 m'
_space_group_IT_number 216
_space_group_name_Hall 'F -4 2 3'
_cell_length_a 6.331
_cell_length_b 6.331
_cell_length_c 6.331
_cell_angle_alpha 90.00
_cell_angle_beta 90.00
_cell_angle_gamma 90.00
loop_
_atom_site_label
_atom_site_type_symbol
_atom_site_fract_x
_atom_site_fract_y
_atom_site_fract_z
Cu1 Cu 0.000 0.000 0.000
Sb1 Sb 0.250 0.250 0.750
Ir1 Ir 0.000 0.000 0.500
Pd1 Pd 0.250 0.250 0.250
```

(12)
Here is CuSiIrPd after structural relaxation from OQMD. Energies are from PBE.

```
data_CuSiIrPd
_space_group_name_H-M_alt 'F -4 3 m'
_space_group_IT_number 216
_space_group_name_Hall 'F -4 2 3'
_cell_length_a 6.034
_cell_length_b 6.034
_cell_length_c 6.034
_cell_angle_alpha 90.00
_cell_angle_beta 90.00
_cell_angle_gamma 90.00
loop_
_atom_site_label
_atom_site_type_symbol
_atom_site_fract_x
_atom_site_fract_y
_atom_site_fract_z
Cu1 Cu 0.000 0.000 0.000
Si1 Si 0.250 0.250 0.750
Ir1 Ir 0.000 0.000 0.500
Pd1 Pd 0.250 0.250 0.250
```

(13)
Here is TlCuIrPd after structural relaxation from OQMD. Energies are from PBE.

```
data_TlCuIrPd
_space_group_name_H-M_alt 'F -4 3 m'
_space_group_IT_number 216
_space_group_name_Hall 'F -4 2 3'
_cell_length_a 6.387
_cell_length_b 6.387
_cell_length_c 6.387
_cell_angle_alpha 90.00
_cell_angle_beta 90.00
_cell_angle_gamma 90.00
loop_
_atom_site_label
_atom_site_type_symbol
_atom_site_fract_x
_atom_site_fract_y
_atom_site_fract_z
Tl1 Tl 0.000 0.000 0.000
Cu1 Cu 0.250 0.250 0.250
Ir1 Ir 0.250 0.250 0.750
Pd1 Pd 0.000 0.000 0.500
```

(14)
# PBE ZnCuIrPd, relaxed
data_ZnCuIrPd
_space_group_name_H-M_alt 'F -4 3 m'
_space_group_IT_number 216
_space_group_name_Hall 'F -4 2 3'
_cell_length_a 6.097
_cell_length_b 6.097
_cell_length_c 6.097
_cell_angle_alpha 90.00
_cell_angle_beta 90.00
_cell_angle_gamma 90.00
loop_
_atom_site_label
_atom_site_type_symbol
_atom_site_fract_x
_atom_site_fract_y
_atom_site_fract_z
Zn1 Zn 0.000 0.000 0.000
Cu1 Cu 0.250 0.250 0.250
Ir1 Ir 0.250 0.250 0.750
Pd1 Pd 0.000 0.000 0.500
# - Energy of formation from the pure elements: 0.0442 eV per atom

(15)
# PBE PmCuIr, relaxed
data_PmCuIr
_space_group_name_H-M_alt 'F -4 3 m'
_space_group_IT_number 216
_space_group_name_Hall 'F -4 2 3'
_cell_length_a 6.454
_cell_length_b 6.454
_cell_length_c 6.454
_cell_angle_alpha 90.00
_cell_angle_beta 90.00
_cell_angle_gamma 90.00
loop_
_atom_site_label
_atom_site_type_symbol
_atom_site_fract_x
_atom_site_fract_y
_atom_site_fract_z
Pm1 Pm 0.000 0.000 0.000
Cu1 Cu 0.000 0.000 0.500
Ir1 Ir 0.250 0.250 0.250
# - Energy of formation from the pure elements: -0.0565 eV per atom

| no. | energy (Ry per atom) |
| --- | --- |
| 1 | -0.441 |
| 2 | -0.556 |
| 3 | -0.378 |
| 4 | -0.341 |
| 5 | -0.352 |
| 6 | -0.321 |
| 7 | -0.470 |
| 8 | -0.456 |
| 9 | -0.454 |
| 10 | -0.388 |
| 11 | -0.401 |
| 12 | -0.435 |
| 13 | -0.350 |
| 14 | -0.346 |
| 15 | -0.428 |